Record 1
This record from the Alexandria database describes Sr2Al4IrPt3 after structural relaxation. The functional is GGA-PBE.

abc: 4.341 4.341 10.454
angles: 90.00 90.00 90.00
Positions (direct):
Al 0.500 0.500 0.000
Al 0.000 0.500 0.378
Al 0.500 0.000 0.622
Al 0.000 0.000 0.000
Pt 0.000 0.000 0.500
Pt 0.500 0.000 0.869
Pt 0.000 0.500 0.131
Sr 0.000 0.500 0.744
Sr 0.500 0.000 0.256
Ir 0.500 0.500 0.500

Properties
Density in g/cm³: 8.94
DFT formation energy in eV per atom: -0.9476
E in eV for the cell shown: -54.79



Record 2
This record from the Alexandria database describes PrHRh3 after structural relaxation. The functional is GGA-PBE.

abc: 4.168 4.168 4.168
angles: 90.00 90.00 90.00
Positions (direct):
Pr 0.500 0.500 0.500
H 0.000 0.000 0.000
Rh 0.000 0.500 0.000
Rh 0.000 0.000 0.500
Rh 0.500 0.000 0.000

Properties
Density in g/cm³: 10.34
E in eV for the cell shown: -31.90



Record 3
This record from the Alexandria database describes Ta2FeAs after structural relaxation. The functional is GGA-PBE.

abc: 3.664 2.990 5.984
angles: 72.73 90.00 90.00
Positions (direct):
Ta 0.000 0.489 0.515
Ta 0.000 0.011 0.985
As 0.500 0.250 0.250
Fe 0.500 0.750 0.750

Properties
Density in g/cm³: 13.07
DFT formation energy in eV per atom: -0.0186
E in eV for the cell shown: -36.89



Record 4
This record from the Alexandria database describes Sm3Ho2Sb3 after structural relaxation. The functional is GGA-PBE.

abc: 6.389 9.086 9.086
angles: 120.00 90.00 90.00
Positions (direct):
Sb 0.250 0.000 0.392
Sb 0.250 0.608 0.608
Sb 0.750 0.000 0.608
Sb 0.750 0.608 0.000
Sb 0.250 0.392 0.000
Sb 0.750 0.392 0.392
Sm 0.250 0.000 0.752
Sm 0.750 0.000 0.248
Sm 0.250 0.752 0.000
Sm 0.750 0.752 0.752
Sm 0.250 0.248 0.248
Sm 0.750 0.248 0.000
Ho 0.000 0.667 0.333
Ho 0.500 0.333 0.667
Ho 0.000 0.333 0.667
Ho 0.500 0.667 0.333

Properties
Raw formation energy in kJ/mol of formula units: -729.2
Density in g/cm³: 8.33
E in eV for the cell shown: -86.48



Record 5
This record from the Alexandria database describes HfTi2Sb after structural relaxation. The functional is GGA-PBE.

abc: 7.783 7.783 6.187
angles: 51.02 51.02 90.00
Positions (direct):
Ti 0.375 0.397 0.750
Ti 0.147 0.625 0.250
Ti 0.875 0.853 0.750
Ti 0.603 0.125 0.250
Hf 0.750 0.250 0.500
Hf 0.000 0.000 0.000
Sb 0.500 0.500 0.000
Sb 0.250 0.750 0.500

Properties
Raw formation energy in kJ/mol of formula units: 98.4
Density in g/cm³: 7.68
E in eV for the cell shown: -57.69



Record 6
This record from the Alexandria database describes Sm2GdHf after structural relaxation. The functional is GGA-PBE.

abc: 4.885 4.921 4.921
angles: 90.00 90.00 90.00
Positions (direct):
Sm 0.000 0.500 0.000
Sm 0.000 0.000 0.500
Hf 0.500 0.000 0.000
Gd 0.500 0.500 0.500

Properties
Relative energy among the computed polymorphs in meV/atom: 34
Density in g/cm³: 8.93
DFT formation energy in eV per atom: 0.1612
E in eV for the cell shown: -32.83